Record 1
Here is crystalline Ce2TlAu2S6 at its relaxed geometry from Alexandria via LeMat-Bulk. Energies are from PBE.

Properties
- final energy (eV/atom) = -5.069
- formation energy without anion corrections (eV per atom) = -0.93
- symmetry = P-1
- density of states at the Fermi level (states/eV/atom) = 0.4768

POSCAR file:
```
Ce2TlAu2S6
1.0
-1.047 -7.092 1.700
-1.597 -5.543 -5.664
6.477 0.675 3.459
S Ce Tl Au
6 2 1 2
Direct
0.051 0.508 0.776 S
0.396 0.785 0.063 S
0.604 0.215 0.937 S
0.218 0.887 0.608 S
0.949 0.492 0.224 S
0.782 0.113 0.392 S
0.818 0.355 0.831 Ce
0.182 0.645 0.169 Ce
0.500 0.000 0.500 Tl
0.175 0.715 0.757 Au
0.825 0.285 0.243 Au
```

Record 2
Here is crystalline La2SmAs2I2 at its relaxed geometry from Alexandria via LeMat-Bulk. Energies are from PBE.

Properties
- final energy (eV/atom) = -5.057
- formation energy without anion corrections (eV per atom) = -1.20
- symmetry = I4/mmm
- density of states at the Fermi level (states/eV/atom) = 0.3745

POSCAR file:
```
La2SmAs2I2
1.0
-2.657 4.849 -0.139
-2.243 -1.088 4.937
8.909 1.766 1.339
As I Sm La
2 2 1 2
Direct
0.500 0.000 0.000 As
0.000 0.500 0.000 As
0.194 0.194 0.388 I
0.806 0.806 0.612 I
0.000 0.000 0.000 Sm
0.600 0.600 0.200 La
0.400 0.400 0.800 La
```

Record 3
Here is crystalline TmGeBr5 at its relaxed geometry from Alexandria via LeMat-Bulk. Energies are from PBE.

Properties
- final energy (eV/atom) = -3.727
- formation energy without anion corrections (eV per atom) = -1.23
- symmetry = C2/c
- density of states at the Fermi level (states/eV/atom) = 0.0000

POSCAR file:
```
TmGeBr5
1.0
6.992 0.541 -2.151
-0.701 6.978 -2.151
-0.314 -0.375 10.716
Tm Br Ge
2 10 2
Direct
0.000 0.000 0.000 Tm
0.500 0.500 0.500 Tm
0.738 0.283 0.001 Br
0.783 0.238 0.501 Br
0.752 0.748 0.750 Br
0.830 0.866 0.153 Br
0.366 0.330 0.653 Br
0.217 0.762 0.499 Br
0.170 0.134 0.847 Br
0.262 0.717 0.999 Br
0.248 0.252 0.250 Br
0.634 0.670 0.347 Br
0.925 0.575 0.250 Ge
0.075 0.425 0.750 Ge
```

Record 4
Here is crystalline ZrAgAs2 at its relaxed geometry from Alexandria via LeMat-Bulk. Energies are from PBE.

Properties
- formation energy (eV per atom) = -0.452
- final energy (eV/atom) = -5.627
- symmetry = P4mm
- density of states at the Fermi level (states/eV/atom) = 0.4089

POSCAR file:
```
ZrAgAs2
1.0
3.794 0.000 0.000
0.000 3.795 0.000
0.000 0.000 5.552
Zr As Ag
1 2 1
Direct
0.000 0.000 0.452 Zr
0.500 0.500 0.316 As
0.000 0.000 0.928 As
0.500 0.500 0.803 Ag
```